i:
This record from Alexandria via LeMat-Bulk describes NaSb2Mo2 after structural relaxation. The functional is PBE.

Lattice parameters (Å, degrees): 3.8286 3.8286 16.7313 90.00 90.00 90.00
Last column: nearest neighbours and their distance in Å.
Space group I4/mmm (No. 139)
Inequivalent atoms, fractional coordinates:
Na 0.0000 0.0000 0.0000 (multiplicity 2)  8 Sb 3.45, 4 Na 3.83
Sb 0.0000 0.0000 0.3723 (multiplicity 4)  4 Mo 2.80
Mo 0.0000 0.5000 0.2500 (multiplicity 4)  4 Mo 2.71, 4 Sb 2.80

***

ii:
This record from Alexandria via LeMat-Bulk describes NaSb2Mo2 after structural relaxation. The functional is PBE.

Lattice parameters (Å, degrees): 5.0938 5.0938 9.1685 90.00 90.00 90.00
Last column: nearest neighbours and their distance in Å.
Space group I4/mmm (No. 139)
Inequivalent atoms, fractional coordinates:
Na 0.0000 0.0000 0.0000 (multiplicity 2)  8 Sb 3.43, 10 Mo 3.50-3.76
Sb 0.0000 0.5000 0.2500 (multiplicity 4)  4 Mo 2.82
Mo 0.0000 0.0000 0.3814 (multiplicity 4)  1 Mo 2.18

***

Q: Which of them is the most stable? A: i.

***

i:
This record from Alexandria via LeMat-Bulk describes NaScMo2 after structural relaxation. The functional is PBE.

Lattice parameters (Å, degrees): 6.6344 6.6344 6.6344 90.00 90.00 90.00
Last column: nearest neighbours and their distance in Å.
Space group Fm-3m (No. 225)
Inequivalent atoms, fractional coordinates:
Na 0.0000 0.0000 0.0000 (multiplicity 4)  8 Mo 2.87
Sc 0.0000 0.0000 0.5000 (multiplicity 4)  8 Mo 2.87
Mo 0.2500 0.2500 0.2500 (multiplicity 8)  4 Sc 2.87, 4 Na 2.87

***

ii:
This record from Alexandria via LeMat-Bulk describes NaScMo2 after structural relaxation. The functional is PBE.

Lattice parameters (Å, degrees): 3.8505 3.8505 20.4715 90.00 90.00 90.00
Last column: nearest neighbours and their distance in Å.
Space group I-42d (No. 122)
Inequivalent atoms, fractional coordinates:
Na 0.0000 0.0000 0.0000 (multiplicity 4)  4 Sc 2.72, 4 Mo 2.93
Sc 0.0000 0.0000 0.5000 (multiplicity 4)  4 Na 2.72, 4 Mo 2.87
Mo 0.2286 0.2500 0.6250 (multiplicity 8)  4 Mo 2.61-2.84, 2 Sc 2.87

***

Q: Which of them is the most stable? A: ii.